# MnBeN2O PBE+U relaxed
# * VASP energy: -30.90 eV/cell
# * volume: 9.08 Å³ per atom
# * crystal system: tetragonal
# * Fermi-level density of states: 1.61 states/eV/cell
data_MnBeN2O
_chemical_formula_sum 'Mn1 Be1 N2 O1'
_space_group_name_H-M_alt 'P 1'
_space_group_IT_number 1
_space_group_name_Hall 'P 1'
_cell_length_a 3.331
_cell_length_b 3.331
_cell_length_c 4.092
_cell_angle_alpha 90.00
_cell_angle_beta 90.00
_cell_angle_gamma 90.00
loop_
_atom_site_label
_atom_site_fract_x
_atom_site_fract_y
_atom_site_fract_z
Mn1 0.000 0.000 0.000
Be1 0.500 0.500 0.500
N1 0.000 0.500 0.500
N2 0.500 0.000 0.500
O1 0.500 0.500 0.000